Below is Tc3GeAu after structural relaxation, with properties calculated at the PBEsol level.

Cell: 4.447 4.447 4.447 Å, 90.00 90.00 90.00°
Space group Pm-3m (No. 221)
Unique sites:
Tc1 0.000 0.000 0.500 [3 per cell]
Ge1 0.000 0.000 0.000 [1 per cell]
Au1 0.500 0.500 0.500 [1 per cell]

Results
* M_tot: 0.000 μB per atom
* volume: 17.58 Å³/atom
* energy relative to the elements: 1.4369 eV/atom